Record 1
Dy6TmIn3: optimized geometry, GGA-PBE.

Computed properties:
Its space group is No. 11. The energy above the most stable polymorph in this dataset comes out at 0.00 kcal/mol of atoms. For the energy relative to the elements, the calculation gives -0.264 eV per atom. The calculated volume comes out at 28.9 A^3/atom.

abc: 10.0742 5.1863 11.3520
angles: 90.00 102.96 90.00
Sites, in units of the cell vectors:
1 Dy 0.0599 0.2500 0.4094
2 Dy 0.1524 0.7500 0.1835
3 Dy 0.2333 0.2500 0.9927
4 Dy 0.3096 0.7500 0.7861
5 Dy 0.3807 0.2500 0.3010
6 Dy 0.3915 0.2500 0.6053
7 Dy 0.6085 0.7500 0.3947
8 Dy 0.6193 0.7500 0.6990
9 Dy 0.6904 0.2500 0.2139
10 Dy 0.7667 0.7500 0.0073
11 Dy 0.8476 0.2500 0.8165
12 Dy 0.9401 0.7500 0.5906
13 Tm 0.4603 0.7500 0.0965
14 Tm 0.5397 0.2500 0.9035
15 In 0.0357 0.7500 0.8892
16 In 0.1163 0.2500 0.7032
17 In 0.2809 0.7500 0.4667
18 In 0.7191 0.2500 0.5333
19 In 0.8837 0.7500 0.2968
20 In 0.9643 0.2500 0.1108

---

Record 2
BaHoTl2F8: optimized geometry, GGA-PBE.

Computed properties:
The uncorrected formation energy comes out at -293 kJ/mol of atoms. Its space group is No. 119. The calculated volume comes out at 17.8 A^3/atom.

abc: 7.1583 7.1583 7.1583
angles: 129.42 129.42 74.33
Sites, in units of the cell vectors:
1 Ba 0.0000 0.0000 0.0000
2 Ho 0.7500 0.2500 0.5000
3 Tl 0.2500 0.7500 0.5000
4 Tl 0.5000 0.5000 0.0000
5 F 0.0914 0.1581 0.5104
6 F 0.0914 0.5809 0.9333
7 F 0.4191 0.3523 0.5104
8 F 0.4191 0.9086 0.0667
9 F 0.6477 0.1581 0.0667
10 F 0.6477 0.5809 0.4896
11 F 0.8419 0.3523 0.9333
12 F 0.8419 0.9086 0.4896

---

Record 3
PuCuPO6: optimized geometry, GGA-PBE.

Computed properties:
The uncorrected formation energy comes out at -165 kJ/mol of atoms. Its space group is No. 163. The calculated volume comes out at 11.2 A^3/atom.

abc: 5.1519 5.1519 8.7338
angles: 90.00 90.00 120.00
Sites, in units of the cell vectors:
1 Pu 0.3333 0.6667 0.2500
2 Pu 0.6667 0.3333 0.7500
3 Cu 0.0000 0.0000 0.0000
4 Cu 0.0000 0.0000 0.5000
5 P 0.3333 0.6667 0.7500
6 P 0.6667 0.3333 0.2500
7 O 0.0572 0.3885 0.6373
8 O 0.0572 0.6686 0.8627
9 O 0.3314 0.3885 0.8627
10 O 0.3314 0.9428 0.6373
11 O 0.3885 0.0572 0.1373
12 O 0.3885 0.3314 0.3627
13 O 0.6115 0.6686 0.6373
14 O 0.6115 0.9428 0.8627
15 O 0.6686 0.0572 0.3627
16 O 0.6686 0.6115 0.1373
17 O 0.9428 0.3314 0.1373
18 O 0.9428 0.6115 0.3627

---

Record 4
AcCdGe2: optimized geometry, GGA-PBE.

Computed properties:
Its space group is No. 123. The energy above the most stable polymorph in this dataset comes out at 5.70 kcal/mol of atoms. For the energy relative to the elements, the calculation gives -0.170 eV per atom. The calculated volume comes out at 25.1 A^3/atom.

abc: 3.8175 3.8175 6.8969
angles: 90.00 90.00 90.00
Sites, in units of the cell vectors:
1 Ac 0.0000 0.0000 0.0000
2 Cd 0.0000 0.0000 0.5000
3 Ge 0.5000 0.5000 0.3089
4 Ge 0.5000 0.5000 0.6911

---

no.,D(E_F) (states/eV/atom)
1,1.079
2,0.366
3,0.898
4,0.946